Computed, not measured: Pm2ErSe2O2 after structural relaxation at the PBE level of DFT.

Geometry as POSCAR:
```
Pm2ErSe2O2
1.0
4.2828 0.0000 0.0000
0.0000 4.2828 0.0000
-2.1414 -2.1414 7.7594
Pm Se O Er
2 2 2 1
Direct
0.6267 0.6267 0.2535 Pm
0.3733 0.3733 0.7465 Pm
0.8197 0.8197 0.6394 Se
0.1803 0.1803 0.3606 Se
0.5000 0.0000 0.0000 O
0.0000 0.5000 0.0000 O
0.0000 0.0000 0.0000 Er
```

Uncorrected formation energy (kJ/mol of formula units): -1615